1.
VASP calculation (PBE) on a geometry-optimized LiZr2Ta structure.

* formation energy: 0.7633 eV per atom
* energy relative to the lowest polymorph listed for this composition: 0.6196 eV per atom
* V: 165.7 Å³/cell
* Fermi-level density of states: 1.082 states/eV/atom

Unit cell a=10.2962 b=10.2962 c=10.2962 alpha=157.06 beta=157.06 gamma=32.67
Closest atoms and distances in Å follow each position.
Fractional coordinates of all 8 atoms:
Li 0.0000 0.0000 0.0000  4 Zr 2.87, 4 Ta 2.90
Li 0.7500 0.2500 0.5000  4 Zr 2.87, 4 Ta 2.90
Zr 0.1317 0.6250 0.0067  2 Ta 2.85, 4 Zr 2.86-2.94, 2 Li 2.87
Zr 0.3750 0.3817 0.5067  2 Ta 2.85, 4 Zr 2.86-2.94, 2 Li 2.87
Zr 0.6183 0.1250 0.9933  2 Ta 2.85, 4 Zr 2.86-2.94, 2 Li 2.87
Zr 0.8750 0.8683 0.4933  2 Ta 2.85, 4 Zr 2.86-2.94, 2 Li 2.87
Ta 0.2500 0.7500 0.5000  4 Zr 2.85, 4 Li 2.90
Ta 0.5000 0.5000 0.0000  4 Zr 2.85, 4 Li 2.90



2.
VASP calculation (PBE) on a geometry-optimized In2FeH structure.

* energy relative to the lowest polymorph listed for this composition: 0.0000 eV per atom
* V: 130.7 Å³/cell
* Fermi-level density of states: 0.821 states/eV/atom

Unit cell a=5.5392 b=5.5392 c=5.5392 alpha=108.43 beta=108.43 gamma=111.58
Closest atoms and distances in Å follow each position.
Fractional coordinates of all 8 atoms:
In 0.0623 0.6250 0.9373  2 H 2.17
In 0.3750 0.3123 0.4373  2 H 2.17
In 0.6877 0.1250 0.0627  2 H 2.17
In 0.8750 0.9377 0.5627  2 H 2.17
Fe 0.2500 0.7500 0.5000  4 In 2.71
Fe 0.5000 0.5000 0.0000  4 In 2.71
H 0.0000 0.0000 0.0000  4 In 2.17
H 0.7500 0.2500 0.5000  4 In 2.17



3.
VASP calculation (PBE) on a geometry-optimized MgAl3Ge3 structure.

* formation energy: -0.0161 eV per atom
* V: 297.3 Å³/cell
* Fermi-level density of states: 0.233 states/eV/atom

Unit cell a=7.9777 b=7.9777 c=7.9777 alpha=52.68 beta=52.68 gamma=52.68
Closest atoms and distances in Å follow each position.
Fractional coordinates of all 14 atoms:
Mg 0.1660 0.1660 0.1660  6 Ge 2.86-2.87
Mg 0.8340 0.8340 0.8340  6 Ge 2.86-2.87
Al 0.0407 0.3721 0.7103  4 Ge 2.55-2.67
Al 0.2897 0.9593 0.6279  4 Ge 2.55-2.67
Al 0.3721 0.7103 0.0407  4 Ge 2.55-2.67
Al 0.6279 0.2897 0.9593  4 Ge 2.55-2.67
Al 0.7103 0.0407 0.3721  4 Ge 2.55-2.67
Al 0.9593 0.6279 0.2897  4 Ge 2.55-2.67
Ge 0.0918 0.7500 0.4251  4 Al 2.55-2.67
Ge 0.2500 0.5749 0.9082  4 Al 2.55-2.67
Ge 0.4251 0.0918 0.7500  4 Al 2.55-2.67
Ge 0.5749 0.9082 0.2500  4 Al 2.55-2.67
Ge 0.7500 0.4251 0.0918  4 Al 2.55-2.67
Ge 0.9082 0.2500 0.5749  4 Al 2.55-2.67



4.
VASP calculation (PBE) on a geometry-optimized Ga2BiRh2 structure.

* formation energy: -0.3619 eV per atom
* energy relative to the lowest polymorph listed for this composition: 0.0000 eV per atom
* V: 88.9 Å³/cell
* Fermi-level density of states: 0.358 states/eV/atom

Unit cell a=6.9157 b=6.9157 c=6.9157 alpha=148.72 beta=148.72 gamma=44.82
Closest atoms and distances in Å follow each position.
Fractional coordinates of all 5 atoms:
Ga 0.2500 0.7500 0.5000  4 Rh 2.56, 4 Ga 2.64
Ga 0.7500 0.2500 0.5000  4 Rh 2.56, 4 Ga 2.64
Bi 0.0000 0.0000 0.0000  8 Rh 3.00
Rh 0.3875 0.3875 0.0000  4 Ga 2.56
Rh 0.6125 0.6125 0.0000  4 Ga 2.56



5.
VASP calculation (PBE) on a geometry-optimized Cr4ReSi structure.

* V: 74.3 Å³/cell
* ΔE_f (raw): 0.5 eV/f.u.
* Fermi-level density of states: 1.382 states/eV/atom

Unit cell a=4.7188 b=4.7188 c=4.7188 alpha=60.00 beta=60.00 gamma=60.00
Closest atoms and distances in Å follow each position.
Fractional coordinates of all 6 atoms:
Cr 0.3766 0.3766 0.3766  6 Cr 2.33-2.39
Cr 0.3766 0.3766 0.8702  6 Cr 2.33-2.39
Cr 0.3766 0.8702 0.3766  6 Cr 2.33-2.39
Cr 0.8702 0.3766 0.3766  6 Cr 2.33-2.39
Re 0.0000 0.0000 0.0000  12 Cr 2.77, 4 Si 2.89
Si 0.7500 0.7500 0.7500  12 Cr 2.76, 4 Re 2.89



6.
VASP calculation (PBE) on a geometry-optimized KNbAsO5 structure.

* V: 238.0 Å³/cell
* ΔE_f (raw): -14.9 eV/f.u.
* Fermi-level density of states: 0.237 states/eV/atom

Unit cell a=5.9810 b=5.9810 c=7.6762 alpha=105.34 beta=105.34 gamma=105.50
Closest atoms and distances in Å follow each position.
Fractional coordinates of all 16 atoms:
K 0.1728 0.8272 0.7500  7 O 2.63-2.80
K 0.8272 0.1728 0.2500  7 O 2.63-2.80
Nb 0.5000 0.5000 0.0000  6 O 1.98-2.08
Nb 0.5000 0.5000 0.5000  6 O 1.98-2.08
As 0.1895 0.8105 0.2500  4 O 1.80-1.82
As 0.8105 0.1895 0.7500  4 O 1.80-1.82
O 0.1285 0.2674 0.9003  1 As 1.80
O 0.2098 0.6113 0.3926  1 As 1.82
O 0.2674 0.1285 0.4003  1 As 1.80
O 0.3887 0.7902 0.1074  1 As 1.82
O 0.4491 0.5509 0.7500  2 Nb 1.98
O 0.5509 0.4491 0.2500  2 Nb 1.98
O 0.6113 0.2098 0.8926  1 As 1.82
O 0.7326 0.8715 0.5997  1 As 1.80
O 0.7902 0.3887 0.6074  1 As 1.82
O 0.8715 0.7326 0.0997  1 As 1.80



7.
VASP calculation (PBE) on a geometry-optimized BeCuSi2 structure.

* V: 50.9 Å³/cell
* ΔE_f (raw): 1.9 eV/f.u.
* Fermi-level density of states: 0.286 states/eV/atom

Unit cell a=4.1600 b=4.1600 c=4.1600 alpha=60.00 beta=60.00 gamma=60.00
Closest atoms and distances in Å follow each position.
Fractional coordinates of all 4 atoms:
Be 0.0000 0.0000 0.0000  4 Cu 2.55, 4 Si 2.55
Cu 0.2500 0.2500 0.2500  4 Si 2.55, 4 Be 2.55
Si 0.5000 0.5000 0.5000  4 Si 2.55, 4 Cu 2.55
Si 0.7500 0.7500 0.7500  4 Si 2.55, 4 Be 2.55



8.
VASP calculation (PBE) on a geometry-optimized LiCO structure.

* energy relative to the lowest polymorph listed for this composition: 0.0593 eV per atom
* V: 52.2 Å³/cell
* ΔE_f (raw): -3.1 eV/f.u.
* Fermi-level density of states: 0.180 states/eV/atom

Unit cell a=3.9029 b=2.6406 c=5.1797 alpha=90.00 beta=101.95 gamma=90.00
Closest atoms and distances in Å follow each position.
Fractional coordinates of all 6 atoms:
Li 0.2234 0.2500 0.4078  4 O 1.90-2.04
Li 0.7766 0.7500 0.5922  4 O 1.90-2.04
C 0.4556 0.7500 0.9361  1 O 1.37, 2 C 1.49
C 0.5444 0.2500 0.0639  1 O 1.37, 2 C 1.49
O 0.2885 0.7500 0.6770  1 C 1.37
O 0.7115 0.2500 0.3230  1 C 1.37



9.
VASP calculation (PBE) on a geometry-optimized TbDyGa2Pd2 structure.

* formation energy: -0.8571 eV per atom
* V: 120.5 Å³/cell
* Fermi-level density of states: 0.715 states/eV/atom

Unit cell a=4.5067 b=4.5067 c=6.8525 alpha=90.00 beta=90.00 gamma=120.00
Closest atoms and distances in Å follow each position.
Fractional coordinates of all 6 atoms:
Tb 0.0000 0.0000 0.0000  6 Ga 3.13, 6 Pd 3.13, 2 Dy 3.43
Dy 0.0000 0.0000 0.5000  6 Pd 3.10, 6 Ga 3.11, 2 Tb 3.43
Ga 0.3333 0.6667 0.2527  3 Pd 2.60
Ga 0.6667 0.3333 0.7473  3 Pd 2.60
Pd 0.3333 0.6667 0.7467  3 Ga 2.60
Pd 0.6667 0.3333 0.2533  3 Ga 2.60



10.
VASP calculation (PBE) on a geometry-optimized La2SmMg4 structure.

* formation energy: 0.1083 eV per atom
* V: 228.7 Å³/cell
* Fermi-level density of states: 0.967 states/eV/atom

Unit cell a=8.4178 b=8.4178 c=8.4178 alpha=141.58 beta=141.58 gamma=55.47
Closest atoms and distances in Å follow each position.
Fractional coordinates of all 7 atoms:
La 0.2434 0.2434 0.0000  8 Mg 3.40-3.51
La 0.7566 0.7566 0.0000  8 Mg 3.40-3.51
Sm 0.5000 0.5000 0.0000  8 Mg 3.23
Mg 0.1115 0.6115 0.5000  2 Sm 3.23, 1 Mg 3.32, 4 La 3.40-3.51
Mg 0.3885 0.8885 0.5000  2 Sm 3.23, 1 Mg 3.32, 4 La 3.40-3.51
Mg 0.6115 0.1115 0.5000  2 Sm 3.23, 1 Mg 3.32, 4 La 3.40-3.51
Mg 0.8885 0.3885 0.5000  2 Sm 3.23, 1 Mg 3.32, 4 La 3.40-3.51